! ZrMnW2 PBE optimized geometry; values from VASP
&SYSTEM
  ibrav = 0, nat = 4, ntyp = 3
/
ATOMIC_SPECIES
Zr 91.22 Zr.upf
Mn 54.94 Mn.upf
W 183.84 W.upf
CELL_PARAMETERS angstrom
2.705 -4.550 0.000
2.705 4.550 0.000
-0.957 0.000 2.633
ATOMIC_POSITIONS crystal
Zr 0.000 0.000 0.000
Mn 0.500 0.500 0.000
W 0.000 0.500 0.500
W 0.500 0.000 0.500
! Symmetry ... No. 12
! Energy relative to the elements ... 0.85 eV/f.u.

---

! Ba2ScBr PBE optimized geometry; values from VASP
&SYSTEM
  ibrav = 0, nat = 4, ntyp = 3
/
ATOMIC_SPECIES
Ba 137.33 Ba.upf
Sc 44.96 Sc.upf
Br 79.90 Br.upf
CELL_PARAMETERS angstrom
2.129 1.229 10.230
-2.129 1.229 10.230
0.000 -2.458 10.230
ATOMIC_POSITIONS crystal
Ba 0.246 0.246 0.246
Ba 0.754 0.754 0.754
Sc 0.000 0.000 0.000
Br 0.500 0.500 0.500
! Symmetry ... No. 166
! E_form (uncorrected) ... -0.5063 eV/atom

---

! AlTe2Se PBE optimized geometry; values from VASP
&SYSTEM
  ibrav = 0, nat = 4, ntyp = 3
/
ATOMIC_SPECIES
Al 26.98 Al.upf
Te 127.60 Te.upf
Se 78.96 Se.upf
CELL_PARAMETERS angstrom
-1.931 2.355 5.805
1.931 -2.355 5.805
1.931 2.355 -5.805
ATOMIC_POSITIONS crystal
Al 0.000 0.000 0.000
Te 0.174 0.674 0.500
Te 0.826 0.326 0.500
Se 0.500 0.500 0.000
! Symmetry ... No. 71
! E_form (uncorrected) ... 0.0327 eV/atom

---

! TePb4W PBE optimized geometry; values from VASP
&SYSTEM
  ibrav = 0, nat = 6, ntyp = 3
/
ATOMIC_SPECIES
Te 127.60 Te.upf
Pb 207.20 Pb.upf
W 183.84 W.upf
CELL_PARAMETERS angstrom
0.000 4.498 4.498
4.498 0.000 4.498
4.498 4.498 0.000
ATOMIC_POSITIONS crystal
Te 0.000 0.000 0.000
Pb 0.376 0.376 0.376
Pb 0.376 0.376 0.872
Pb 0.376 0.872 0.376
Pb 0.872 0.376 0.376
W 0.750 0.750 0.750
! Symmetry ... No. 216
! E_form (uncorrected) ... 1.0299 eV/atom

---

! TbDy3Th4S8 PBE optimized geometry; values from VASP
&SYSTEM
  ibrav = 0, nat = 16, ntyp = 4
/
ATOMIC_SPECIES
Tb 158.93 Tb.upf
Dy 162.50 Dy.upf
Th 232.04 Th.upf
S 32.06 S.upf
CELL_PARAMETERS angstrom
3.909 2.257 6.716
-3.909 2.257 6.716
0.000 -4.514 6.716
ATOMIC_POSITIONS crystal
Tb 0.000 0.000 0.000
Dy 0.000 0.500 0.500
Dy 0.500 0.000 0.500
Dy 0.500 0.500 0.000
Th 0.000 0.000 0.500
Th 0.000 0.500 0.000
Th 0.500 0.000 0.000
Th 0.500 0.500 0.500
S 0.245 0.245 0.744
S 0.245 0.744 0.245
S 0.255 0.255 0.255
S 0.256 0.755 0.755
S 0.744 0.245 0.245
S 0.745 0.745 0.745
S 0.755 0.256 0.755
S 0.755 0.755 0.256
! Symmetry ... No. 166
! E_form (uncorrected) ... -1.9178 eV/atom

---

! Na2Tm2ZrS6 PBE optimized geometry; values from VASP
&SYSTEM
  ibrav = 0, nat = 11, ntyp = 4
/
ATOMIC_SPECIES
Na 22.99 Na.upf
Tm 168.93 Tm.upf
Zr 91.22 Zr.upf
S 32.06 S.upf
CELL_PARAMETERS angstrom
3.353 -5.759 0.000
3.353 5.759 0.000
-2.227 0.000 6.772
ATOMIC_POSITIONS crystal
Na 0.169 0.831 0.000
Na 0.831 0.169 0.000
Tm 0.334 0.666 0.500
Tm 0.666 0.334 0.500
Zr 0.000 0.000 0.500
S 0.071 0.395 0.717
S 0.246 0.246 0.283
S 0.395 0.071 0.717
S 0.605 0.929 0.283
S 0.754 0.754 0.717
S 0.929 0.605 0.283
! Symmetry ... No. 12
! E_form (uncorrected) ... -1.7597 eV/atom